A relaxed AsIrOs2 crystal. Source: Alexandria, functional GGA-PBEsol.

The final energy is -9.4622 eV/atom. As for the space group: Pmm2. The value obtained for the energy of formation is 0.378 eV/atom.

Lattice parameters (Å, degrees): 2.7979 3.7382 5.5509 90.00 90.00 90.00
With the nearest neighbours (Å) after each atom.
Element x y z (fractional)
Os 0.0000 0.0000 0.0137  6 Os 2.62-2.80, 2 As 2.76-2.79, 4 Ir 2.77
Os 0.5000 0.5000 0.2283  6 Os 2.62-2.80, 2 Ir 2.68-2.87, 4 As 2.82
Ir 0.5000 0.5000 0.7462  4 As 2.67, 6 Os 2.68-2.87, 2 Ir 2.80
As 0.0000 0.0000 0.5118  4 Ir 2.67, 6 Os 2.76-2.82, 2 As 2.80